Entry 1:
4
Lattice="-1.728 0.590 -2.670 1.976 -1.914 -1.702 -4.347 -5.842 1.524" Properties=species:S:1:pos:R:3 comment="TaCrIn2 | the Alexandria database | PBE | optimized geometry" total_energy_ev_per_atom=-6.4400 relative_energy_ev_per_fu=0.000 delta_e_f_ev_per_atom=0.2982 sg="P4mm, No. 99" dos_at_fermi_per_ev_atom=0.642 pbc="T T T"
In -1.095 -2.300 -1.759
Cr -2.998 -4.857 -1.091
In -4.142 -5.567 1.452
Ta -2.386 -3.206 0.836


Entry 2:
12
Lattice="6.079 -0.526 0.000 -0.762 6.054 0.000 -2.659 -2.764 8.220" Properties=species:S:1:pos:R:3 comment="La2TlZn3 | the Alexandria database | PBE | optimized geometry" total_energy_ev_per_atom=-3.0209 delta_e_f_ev_per_atom=-0.3470 sg="Fmmm, No. 69" dos_at_fermi_per_ev_atom=1.028 pbc="T T T"
La 3.040 -0.263 4.110
La 1.289 1.340 0.000
Zn 0.901 4.455 1.316
Zn 1.758 -1.691 6.904
La 4.029 4.188 0.000
Zn -1.758 1.691 6.904
Zn 0.000 0.000 2.657
La -0.381 3.027 4.110
Tl 2.659 2.764 2.715
Zn 2.659 2.764 5.563
Zn 4.416 1.073 1.316
Tl 0.000 0.000 5.505